NbTcHRuI: relaxed, PBE.

Computed properties:
Offset from the most stable computed form: 133 meV/atom
SG: P1, No. 1
Density of states at the Fermi level: 0.632 states/eV per atom
Electronic total energy: -6.5768 eV per atom

a b c (Å): 3.6247 3.8741 6.9347
angles (deg): 105.16 94.67 93.09
Last column: nearest neighbours and their distance in Å.
Sites, in units of the cell vectors:
1 Nb 0.0000 0.0000 0.0000  2 Ru 2.56, 2 Tc 2.58-2.59
2 Tc 0.4523 0.8703 0.7230  2 H 1.99
3 H 0.4241 0.3376 0.6548  2 Ru 1.89-1.95, 2 Tc 1.99
4 Ru 0.9501 0.3803 0.7497  2 H 1.89-1.95
5 I 0.5056 0.6569 0.2798  1 Tc 2.99, 3 Nb 3.15-3.23, 2 H 3.19-3.23